First-principles (PBE) data for an optimized crystal structure of TePd2Rh, as listed in the Alexandria database.

Results
Its space group is No. 122. The value obtained for the spin magnetization is 0.000 μB/f.u. The value obtained for the calculated volume is 17.8 Å³/atom. The crystal system is tetragonal. Its final energy is -83.878 eV/cell.

abc: 3.8505 3.8505 19.2400
angles: 90.00 90.00 90.00
Sites, in units of the cell vectors:
Te 0.0000 0.0000 0.0000
Te 0.0000 0.5000 0.2500
Te 0.5000 0.0000 0.7500
Te 0.5000 0.5000 0.5000
Pd 0.2455 0.2500 0.6250
Pd 0.2500 0.7455 0.8750
Pd 0.2500 0.7545 0.3750
Pd 0.2545 0.2500 0.1250
Pd 0.7455 0.7500 0.1250
Pd 0.7500 0.2455 0.3750
Pd 0.7500 0.2545 0.8750
Pd 0.7545 0.7500 0.6250
Rh 0.0000 0.0000 0.5000
Rh 0.0000 0.5000 0.7500
Rh 0.5000 0.0000 0.2500
Rh 0.5000 0.5000 0.0000


First-principles (PBE) data for an optimized crystal structure of Te2PdRh, as listed in the Alexandria database.

Results
Its space group is No. 166. The value obtained for the spin magnetization is 0.000 μB/f.u. The value obtained for the calculated volume is 25.3 Å³/atom. The crystal system is trigonal. Its final energy is -57.888 eV/cell.

abc: 3.7967 3.7967 24.3441
angles: 90.00 90.00 120.00
Sites, in units of the cell vectors:
Te 0.0000 0.0000 0.1051
Te 0.0000 0.0000 0.8949
Te 0.3333 0.6667 0.5616
Te 0.3333 0.6667 0.7718
Te 0.6667 0.3333 0.2282
Te 0.6667 0.3333 0.4384
Pd 0.0000 0.0000 0.0000
Pd 0.3333 0.6667 0.6667
Pd 0.6667 0.3333 0.3333
Rh 0.0000 0.0000 0.5000
Rh 0.3333 0.6667 0.1667
Rh 0.6667 0.3333 0.8333


First-principles (PBE) data for an optimized crystal structure of Te4Pd4Rh, as listed in the Alexandria database.

Results
Its space group is No. 121. The value obtained for the spin magnetization is 0.000 μB/f.u. The value obtained for the calculated volume is 24.4 Å³/atom. The crystal system is tetragonal. Its final energy is -42.760 eV/cell.

abc: 7.5796 7.5796 7.5796
angles: 134.31 134.31 66.60
Sites, in units of the cell vectors:
Te 0.1034 0.6441 0.0000
Te 0.3559 0.3559 0.4592
Te 0.6441 0.1034 0.0000
Te 0.8966 0.8966 0.5408
Pd 0.0000 0.5000 0.5000
Pd 0.2739 0.2739 0.0000
Pd 0.5000 0.0000 0.5000
Pd 0.7261 0.7261 0.0000
Rh 0.5000 0.5000 0.0000


First-principles (PBE) data for an optimized crystal structure of Tl2Te2PdRh, as listed in the Alexandria database.

Results
Its space group is No. 72. The value obtained for the spin magnetization is 0.000 μB/f.u. The value obtained for the calculated volume is 27.0 Å³/atom. The crystal system is orthorhombic. Its final energy is -49.877 eV/cell.

abc: 8.8775 8.8775 8.8775
angles: 136.60 62.85 136.87
Sites, in units of the cell vectors:
Tl 0.1636 0.2400 0.4035
Tl 0.3364 0.7400 0.0764
Tl 0.6636 0.2600 0.9236
Tl 0.8364 0.7600 0.5965
Te 0.0907 0.7372 0.8279
Te 0.4093 0.2372 0.6465
Te 0.5907 0.7628 0.3535
Te 0.9093 0.2628 0.1721
Pd 0.2500 0.2500 0.0000
Pd 0.7500 0.7500 0.0000
Rh 0.2500 0.7500 0.5000
Rh 0.7500 0.2500 0.5000


> Which formula does entry 2 have?

Te2PdRh


Repeat the second record exactly.
First-principles (PBE) data for an optimized crystal structure of Te2PdRh, as listed in the Alexandria database.

Results
Its space group is No. 166. The value obtained for the spin magnetization is 0.000 μB/f.u. The value obtained for the calculated volume is 25.3 Å³/atom. The crystal system is trigonal. Its final energy is -57.888 eV/cell.

abc: 3.7967 3.7967 24.3441
angles: 90.00 90.00 120.00
Sites, in units of the cell vectors:
Te 0.0000 0.0000 0.1051
Te 0.0000 0.0000 0.8949
Te 0.3333 0.6667 0.5616
Te 0.3333 0.6667 0.7718
Te 0.6667 0.3333 0.2282
Te 0.6667 0.3333 0.4384
Pd 0.0000 0.0000 0.0000
Pd 0.3333 0.6667 0.6667
Pd 0.6667 0.3333 0.3333
Rh 0.0000 0.0000 0.5000
Rh 0.3333 0.6667 0.1667
Rh 0.6667 0.3333 0.8333